Entry 1:
DFT (GGA-PBE) results for an optimized crystal structure of ThGa2Mo.

Cell: 4.375 4.375 5.733 Å, 67.57 67.57 60.00°
Atoms (fractional coordinates):
Mo: 0.500 0.500 0.500
Ga: 0.783 0.783 0.651
Ga: 0.217 0.217 0.349
Th: 0.000 0.000 0.000

Values from the calculation:
N(E_F) in states/eV per cell: 3.371
Energy relative to the elements in eV per atom: -0.124



Entry 2:
DFT (GGA-PBE) results for an optimized crystal structure of Th2GaMo.

Cell: 3.294 3.294 10.829 Å, 81.25 81.25 60.00°
Atoms (fractional coordinates):
Mo: 0.000 0.000 0.000
Ga: 0.500 0.500 0.500
Th: 0.086 0.086 0.743
Th: 0.914 0.914 0.257

Values from the calculation:
N(E_F) in states/eV per cell: 5.715
Energy relative to the elements in eV per atom: 0.512



Entry 3:
DFT (GGA-PBE) results for an optimized crystal structure of ThGaMo.

Cell: 3.996 3.996 8.206 Å, 90.00 90.00 90.00°
Atoms (fractional coordinates):
Mo: 0.000 0.000 0.000
Mo: 0.500 0.500 0.000
Th: 0.000 0.500 0.356
Th: 0.500 0.000 0.644
Ga: 0.000 0.500 0.777
Ga: 0.500 0.000 0.223

Values from the calculation:
N(E_F) in states/eV per cell: 3.406
Energy relative to the elements in eV per atom: -0.197



Entry 4:
DFT (GGA-PBE) results for an optimized crystal structure of Ti2GaMo2.

Cell: 2.636 4.328 7.422 Å, 73.05 90.00 90.00°
Atoms (fractional coordinates):
Ti: 0.500 0.397 0.206
Ti: 0.500 0.603 0.794
Ga: 0.000 0.000 0.000
Mo: 0.000 0.199 0.601
Mo: 0.000 0.801 0.399

Values from the calculation:
N(E_F) in states/eV per cell: 4.611
Energy relative to the elements in eV per atom: -0.046



Entry 5:
DFT (GGA-PBE) results for an optimized crystal structure of TiGaMo.

Cell: 5.076 2.655 7.956 Å, 99.61 108.60 90.00°
Atoms (fractional coordinates):
Ti: 0.337 0.837 0.675
Ti: 0.663 0.163 0.325
Ga: 0.842 0.342 0.685
Ga: 0.158 0.658 0.315
Mo: 0.253 0.500 0.000
Mo: 0.747 0.500 0.000

Values from the calculation:
N(E_F) in states/eV per cell: 4.753
Energy relative to the elements in eV per atom: -0.025



Entry 6:
DFT (GGA-PBE) results for an optimized crystal structure of Ti5Ga4Mo.

Cell: 5.359 6.263 6.263 Å, 79.45 64.67 64.67°
Atoms (fractional coordinates):
Ti: 0.870 0.390 0.779
Ti: 0.260 0.779 0.610
Ti: 0.649 0.221 0.390
Ti: 0.039 0.610 0.221
Ti: 0.709 0.000 0.000
Ga: 0.357 0.365 0.826
Ga: 0.722 0.826 0.635
Ga: 0.184 0.174 0.365
Ga: 0.548 0.635 0.174
Mo: 0.172 0.000 0.000

Values from the calculation:
N(E_F) in states/eV per cell: 7.636
Energy relative to the elements in eV per atom: -0.135



Entry 7:
DFT (GGA-PBE) results for an optimized crystal structure of TiGaMo.

Cell: 3.317 3.317 4.883 Å, 109.86 109.86 90.00°
Atoms (fractional coordinates):
Mo: 0.667 0.667 0.335
Ga: 0.003 0.003 0.005
Ti: 0.330 0.330 0.660

Values from the calculation:
N(E_F) in states/eV per cell: 3.407
Energy relative to the elements in eV per atom: -0.275



Entry 8:
DFT (GGA-PBE) results for an optimized crystal structure of TiGa4Mo.

Cell: 5.516 7.385 5.505 Å, 90.00 90.00 90.02°
Atoms (fractional coordinates):
Ti: 0.000 0.250 0.750
Ti: 0.000 0.750 0.250
Ga: 0.258 0.500 0.000
Ga: 0.258 0.500 0.500
Ga: 0.742 0.000 0.000
Ga: 0.742 0.500 0.500
Ga: 0.742 0.000 0.500
Ga: 0.258 0.000 0.000
Ga: 0.258 0.000 0.500
Ga: 0.742 0.500 0.000
Mo: 0.500 0.250 0.250
Mo: 0.500 0.750 0.750

Values from the calculation:
N(E_F) in states/eV per cell: 9.941
Energy relative to the elements in eV per atom: 0.215



Entry 9:
DFT (GGA-PBE) results for an optimized crystal structure of Ti3GaMo2.

Cell: 4.529 7.112 6.275 Å, 90.00 89.99 71.45°
Atoms (fractional coordinates):
Ti: 0.837 0.327 0.741
Ti: 0.500 0.000 0.260
Ti: 0.163 0.673 0.259
Ti: 0.836 0.327 0.259
Ti: 0.164 0.673 0.741
Ti: 0.500 0.000 0.740
Ga: 0.340 0.320 0.000
Ga: 0.660 0.680 0.000
Mo: 0.000 0.000 0.000
Mo: 0.000 0.000 0.500
Mo: 0.332 0.336 0.500
Mo: 0.668 0.664 0.500

Values from the calculation:
N(E_F) in states/eV per cell: 11.643
Energy relative to the elements in eV per atom: -0.273



Entry 10:
DFT (GGA-PBE) results for an optimized crystal structure of Ti3GaMo2.

Cell: 3.240 3.240 9.149 Å, 90.00 90.00 90.00°
Atoms (fractional coordinates):
Ti: 0.000 0.000 0.000
Ti: 0.000 0.000 0.675
Ti: 0.000 0.000 0.325
Ga: 0.500 0.500 0.500
Mo: 0.500 0.500 0.827
Mo: 0.500 0.500 0.173

Values from the calculation:
N(E_F) in states/eV per cell: 8.110
Energy relative to the elements in eV per atom: -0.266



Entry 11:
DFT (GGA-PBE) results for an optimized crystal structure of Ti6Ga12Mo.

Cell: 6.811 6.811 6.811 Å, 94.41 94.41 94.41°
Atoms (fractional coordinates):
Ti: 0.708 0.867 0.260
Ti: 0.740 0.292 0.133
Ti: 0.133 0.740 0.292
Ti: 0.292 0.133 0.740
Ti: 0.260 0.708 0.867
Ti: 0.867 0.260 0.708
Ga: 0.795 0.550 0.467
Ga: 0.467 0.795 0.550
Ga: 0.550 0.467 0.795
Ga: 0.205 0.450 0.533
Ga: 0.533 0.205 0.450
Ga: 0.450 0.533 0.205
Ga: 0.036 0.124 0.371
Ga: 0.876 0.629 0.964
Ga: 0.629 0.964 0.876
Ga: 0.964 0.876 0.629
Ga: 0.124 0.371 0.036
Ga: 0.371 0.036 0.124
Mo: 0.000 0.000 0.000

Values from the calculation:
N(E_F) in states/eV per cell: 12.698
Energy relative to the elements in eV per atom: -0.324



Entry 12:
DFT (GGA-PBE) results for an optimized crystal structure of TiGa2Mo.

Cell: 4.148 3.847 3.847 Å, 90.00 90.00 90.00°
Atoms (fractional coordinates):
Mo: 0.500 0.500 0.500
Ga: 0.000 0.000 0.500
Ga: 0.000 0.500 0.000
Ti: 0.500 0.000 0.000

Values from the calculation:
N(E_F) in states/eV per cell: 1.731
Energy relative to the elements in eV per atom: -0.259